Record 1
This record from Alexandria via LeMat-Bulk describes a relaxed structure of NaSbRuI2. The functional is GGA-PBE.

Summary:
E_tot in eV per atom: -3.5681
M_tot in μB per formula unit: 0.0
Formation energy from raw total energies in eV per atom: -0.0046

Cell lengths 5.732, 5.732, 4.971 Å; angles 90.00, 90.00, 90.00 degrees
Space group P4/mmm (No. 123)
Asymmetric unit:
Na (0.000, 0.000, 0.000) x1
Sb (0.500, 0.500, 0.000) x1
Ru (0.500, 0.500, 0.500) x1
I (0.000, 0.500, 0.500) x2

---

Record 2
This record from Alexandria via LeMat-Bulk describes a relaxed structure of Na2SbRuI. The functional is GGA-PBE.

Summary:
E_tot in eV per atom: -2.9549
M_tot in μB per formula unit: 1.3
Formation energy from raw total energies in eV per atom: 0.5624

Cell lengths 5.513, 5.513, 5.075 Å; angles 90.00, 90.00, 90.00 degrees
Space group P4/mmm (No. 123)
Asymmetric unit:
Na (0.000, 0.500, 0.000) x2
Sb (0.000, 0.000, 0.500) x1
Ru (0.500, 0.500, 0.500) x1
I (0.500, 0.500, 0.000) x1

---

Record 3
This record from Alexandria via LeMat-Bulk describes a relaxed structure of NaSbRuI2. The functional is GGA-PBE.

Summary:
E_tot in eV per atom: -2.4152
M_tot in μB per formula unit: 4.3
Formation energy from raw total energies in eV per atom: 1.1483

Cell lengths 5.615, 5.615, 5.741 Å; angles 90.00, 90.00, 90.00 degrees
Space group P4/mmm (No. 123)
Asymmetric unit:
Na (0.000, 0.000, 0.000) x1
Sb (0.000, 0.000, 0.500) x1
Ru (0.500, 0.500, 0.500) x1
I (0.000, 0.500, 0.000) x2

---

Record 4
This record from Alexandria via LeMat-Bulk describes a relaxed structure of NaSi2RuI. The functional is GGA-PBE.

Summary:
E_tot in eV per atom: -2.8278
M_tot in μB per formula unit: 1.8
Formation energy from raw total energies in eV per atom: 1.7704

Cell lengths 4.973, 4.973, 4.997 Å; angles 90.00, 90.00, 90.00 degrees
Space group P4/mmm (No. 123)
Asymmetric unit:
Na (0.000, 0.000, 0.000) x1
Si (0.000, 0.500, 0.000) x2
Ru (0.000, 0.000, 0.500) x1
I (0.500, 0.500, 0.500) x1